Entry 1:
VASP calculation (PBE) on MnTlPd2 after structural relaxation.

POSCAR file:
```
MnTlPd2
1.0
4.243 0.000 0.000
0.000 4.243 0.000
0.000 0.000 3.806
Mn Tl Pd
1 1 2
Cartesian
0.000 0.000 0.000
2.121 2.121 0.000
0.000 2.121 1.903
2.121 0.000 1.903
```

Computed properties:
Offset from the most stable computed form, eV per atom: 0.031
Crystal system: tetragonal
Calculated density, g/cm3: 11.44
Energy relative to the elements, meV/atom: -112

=====

Entry 2:
VASP calculation (PBE) on Mn2TlPd9 after structural relaxation.

POSCAR file:
```
Mn2TlPd9
1.0
3.976 0.000 0.000
0.000 3.976 0.000
0.000 0.000 11.940
Mn Tl Pd
2 1 9
Cartesian
0.000 0.000 1.941
0.000 0.000 9.999
0.000 0.000 5.970
0.000 1.988 0.000
0.000 1.988 3.841
0.000 1.988 8.099
1.988 0.000 0.000
1.988 0.000 3.841
1.988 0.000 8.099
1.988 1.988 1.919
1.988 1.988 5.970
1.988 1.988 10.021
```

Computed properties:
Crystal system: tetragonal
Calculated density, g/cm3: 11.19
Energy relative to the elements, meV/atom: -208

=====

Entry 3:
VASP calculation (PBE) on Mn6TlPd12 after structural relaxation.

POSCAR file:
```
Mn6TlPd12
1.0
5.045 2.913 3.261
-5.045 2.913 3.261
0.000 -5.825 3.261
Mn Tl Pd
6 1 12
Cartesian
-3.745 1.324 3.331
0.725 -3.905 3.331
-3.019 -2.581 6.452
3.019 2.581 3.331
-0.725 3.905 6.452
3.745 -1.324 6.452
0.000 0.000 4.891
-1.552 0.548 2.354
-2.666 -0.789 4.551
0.301 -1.618 2.354
-0.649 -2.704 5.232
1.251 1.070 2.354
-2.017 1.914 5.232
2.017 -1.914 4.551
-1.251 -1.070 7.429
0.649 2.704 4.551
-0.301 1.618 7.429
2.666 0.789 5.232
1.552 -0.548 7.429
```

Computed properties:
Crystal system: trigonal
Calculated density, g/cm3: 10.46
Energy relative to the elements, meV/atom: 183

=====

Entry 4:
VASP calculation (PBE) on Mn2TlPd8 after structural relaxation.

POSCAR file:
```
Mn2TlPd8
1.0
-2.116 3.487 6.097
2.116 -3.487 6.097
2.116 3.487 -6.097
Mn Tl Pd
2 1 8
Cartesian
0.000 0.000 2.377
0.000 0.000 9.818
0.000 0.000 6.097
2.116 1.498 -1.931
0.000 1.356 0.000
2.116 0.000 4.211
2.116 1.498 1.931
0.000 1.989 4.166
0.000 3.487 1.887
0.000 5.618 0.000
0.000 1.989 8.028
```

Computed properties:
Offset from the most stable computed form, eV per atom: 0.072
Crystal system: orthorhombic
Calculated density, g/cm3: 10.75
Energy relative to the elements, meV/atom: -128

=====

Entry 5:
VASP calculation (PBE) on Mn2TlPd after structural relaxation.

POSCAR file:
```
Mn2TlPd
1.0
0.000 3.094 3.094
3.094 0.000 3.094
3.094 3.094 0.000
Mn Tl Pd
2 1 1
Cartesian
1.547 1.547 1.547
4.642 4.642 4.642
0.000 0.000 0.000
3.094 3.094 3.094
```

Computed properties:
Offset from the most stable computed form, eV per atom: 0.283
Crystal system: cubic
Calculated density, g/cm3: 11.79
Energy relative to the elements, meV/atom: 738

=====

Entry 6:
VASP calculation (PBE) on MnTl2Pd8 after structural relaxation.

POSCAR file:
```
MnTl2Pd8
1.0
3.595 -6.491 0.000
3.595 6.491 0.000
-2.125 0.000 4.160
Mn Tl Pd
1 2 8
Cartesian
0.000 0.000 0.000
2.533 2.547 2.080
2.533 -2.547 2.080
0.162 1.373 2.622
3.595 3.934 0.000
0.162 -1.373 2.622
2.446 0.000 0.780
2.619 0.000 3.380
4.903 1.373 1.538
3.595 -3.934 0.000
4.903 -1.373 1.538
```

Computed properties:
Offset from the most stable computed form, eV per atom: 0.128
Crystal system: monoclinic
Calculated density, g/cm3: 11.25
Energy relative to the elements, meV/atom: -37

=====

Entry 7:
VASP calculation (PBE) on MnTlPd2 after structural relaxation.

POSCAR file:
```
MnTlPd2
1.0
3.271 0.000 0.000
0.000 3.271 0.000
0.000 0.000 6.458
Mn Tl Pd
1 1 2
Cartesian
0.000 0.000 0.000
0.000 0.000 3.229
1.635 1.635 1.438
1.635 1.635 5.019
```

Computed properties:
Offset from the most stable computed form, eV per atom: 0.008
Crystal system: tetragonal
Calculated density, g/cm3: 11.35
Energy relative to the elements, meV/atom: -134

=====

Entry 8:
VASP calculation (PBE) on MnTlPd14 after structural relaxation.

POSCAR file:
```
MnTlPd14
1.0
5.655 0.000 0.000
0.000 5.655 0.000
0.000 0.000 7.876
Mn Tl Pd
1 1 14
Cartesian
0.000 0.000 0.000
2.828 2.828 0.000
0.000 0.000 3.938
0.000 2.828 0.000
0.000 2.828 3.938
1.391 1.391 1.975
1.391 1.391 5.901
1.391 4.264 1.975
1.391 4.264 5.901
2.828 0.000 0.000
2.828 0.000 3.938
2.828 2.828 3.938
4.264 1.391 1.975
4.264 1.391 5.901
4.264 4.264 1.975
4.264 4.264 5.901
```

Computed properties:
Crystal system: tetragonal
Calculated density, g/cm3: 11.53
Energy relative to the elements, meV/atom: -87